No. 1
Entry from Alexandria via LeMat-Bulk: an optimized crystal structure of AlReOs2 (PBEsol).

Electronic total energy: -10.64 eV/atom
Density of states at the Fermi level: 3.16 states/eV/cell
Energy of formation from the pure elements: -0.1726 eV/atom
Volume: 55 Å³/f.u.

Unit cell a=2.8464 b=2.8464 c=6.8285 alpha=90.00 beta=90.00 gamma=90.00
Last column: nearest neighbours and their distance in Å.
Space group P4/mmm (No. 123)
Unique sites:
Al 0.0000 0.0000 0.0000 [1 per cell]  8 Os 2.60, 4 Al 2.85
Re 0.0000 0.0000 0.5000 [1 per cell]  8 Os 2.68, 4 Re 2.85
Os 0.5000 0.5000 0.2400 [2 per cell]  4 Al 2.60, 4 Re 2.68, 4 Os 2.85

---

No. 2
Entry from Alexandria via LeMat-Bulk: an optimized crystal structure of AlReOs2 (PBEsol).

Electronic total energy: -10.41 eV/atom
Density of states at the Fermi level: 9.83 states/eV/cell
Energy of formation from the pure elements: 0.0545 eV/atom
Volume: 56 Å³/f.u.

Unit cell a=3.9769 b=3.9769 c=7.1362 alpha=90.00 beta=90.00 gamma=90.00
Last column: nearest neighbours and their distance in Å.
Space group I4/mmm (No. 139)
Unique sites:
Al 0.0000 0.0000 0.0000 [2 per cell]  8 Os 2.67, 4 Re 2.81
Re 0.0000 0.0000 0.5000 [2 per cell]  8 Os 2.67, 4 Al 2.81
Os 0.0000 0.5000 0.2500 [4 per cell]  4 Re 2.67, 4 Al 2.67, 4 Os 2.81